# 1
Entry from Alexandria via LeMat-Bulk: a relaxed structure of DyAlTeO6 (PBE).

The structure belongs to space group P-31c (No. 163); the cell edges are 5.0693, 5.0693 and 9.8659 Å and the angles 90.00°, 90.00° and 120.00°. The asymmetric unit holds Dy at (0.0000, 0.0000, 0.0000), Al at (0.3333, 0.6667, 0.2500), Te at (0.3333, 0.6667, 0.7500) and O at (0.0031, 0.3667, 0.1415).

As for the total DFT energy (no corrections): -6.951 eV/atom. Its mass density is 6.2 Mg/m³.

# 2
Entry from Alexandria via LeMat-Bulk: a relaxed structure of Dy4AlTlO (PBE).

The structure belongs to space group Cmcm (No. 63); the cell edges are 6.519, 16.260 and 6.523 Å and the angles 90.00°, 90.00° and 90.00°. The asymmetric unit holds Dy at (0.000, 0.073, 0.250), Dy at (0.000, 0.418, 0.250), Dy at (0.250, 0.250, 0.000), Al at (0.000, 0.116, 0.750), Tl at (0.000, 0.391, 0.750) and O at (0.000, 0.260, 0.250).

As for the total DFT energy (no corrections): -5.237 eV/atom. Its mass density is 8.6 Mg/m³.

# 3
Entry from Alexandria via LeMat-Bulk: a relaxed structure of DyAl2Tl3O6 (PBE).

The structure belongs to space group P-3m1 (No. 164); the cell edges are 6.0614, 6.0614 and 7.2616 Å and the angles 90.00°, 90.00° and 120.00°. The asymmetric unit holds Dy at (0.0000, 0.0000, 0.0000), Al at (0.3333, 0.6667, 0.8046), Tl at (0.0000, 0.0000, 0.5000), Tl at (0.3333, 0.6667, 0.2588) and O at (0.1706, 0.3412, 0.8062).

As for the total DFT energy (no corrections): -6.053 eV/atom. Its mass density is 6.7 Mg/m³.

# 4
Entry from Alexandria via LeMat-Bulk: a relaxed structure of DyUAl2O8 (PBE).

The structure belongs to space group I-4m2 (No. 119); the cell edges are 6.885, 6.885 and 6.478 Å and the angles 90.00°, 90.00° and 90.00°. The asymmetric unit holds Dy at (0.000, 0.000, 0.000), U at (0.000, 0.500, 0.250), Al at (0.000, 0.000, 0.500), Al at (0.000, 0.500, 0.750), O at (0.000, 0.195, 0.319) and O at (0.000, 0.321, 0.943).

As for the total DFT energy (no corrections): -8.126 eV/atom. Its mass density is 6.3 Mg/m³.